## P
The following is a PBE calculation of a relaxed HfMoH3 crystal, from Alexandria via LeMat-Bulk.

Output
- SG: Pm-3m
- Size of the total moment: 0.21 Bohr magnetons per cell
- V: 9.0 Å³ per atom

Cell lengths 3.5596, 3.5596, 3.5596 Å; angles 90.00, 90.00, 90.00 degrees
With the nearest neighbours (Å) after each atom.
Atoms (fractional coordinates):
H (0.0000, 0.5000, 0.0000)  2 Mo 1.78
H (0.0000, 0.0000, 0.5000)  2 Mo 1.78
H (0.5000, 0.0000, 0.0000)  2 Mo 1.78
Mo (0.0000, 0.0000, 0.0000)  6 H 1.78
Hf (0.5000, 0.5000, 0.5000)  12 H 2.52



## Q
The following is a PBE calculation of a relaxed HfMoH3 crystal, from Alexandria via LeMat-Bulk.

Output
- SG: Pm-3m
- Size of the total moment: 0.00 Bohr magnetons per cell
- V: 9.4 Å³ per atom

Cell lengths 3.6134, 3.6134, 3.6134 Å; angles 90.00, 90.00, 90.00 degrees
With the nearest neighbours (Å) after each atom.
Atoms (fractional coordinates):
H (0.0000, 0.5000, 0.0000)  2 Hf 1.81
H (0.0000, 0.0000, 0.5000)  2 Hf 1.81
H (0.5000, 0.0000, 0.0000)  2 Hf 1.81
Mo (0.5000, 0.5000, 0.5000)  12 H 2.56
Hf (0.0000, 0.0000, 0.0000)  6 H 1.81



## R
The following is a PBE calculation of a relaxed HfMoH3 crystal, from Alexandria via LeMat-Bulk.

Output
- SG: C2/c
- Size of the total moment: 0.00 Bohr magnetons per cell
- V: 9.3 Å³ per atom

Cell lengths 5.9616, 5.9616, 5.5175 Å; angles 101.12, 101.12, 98.34 degrees
With the nearest neighbours (Å) after each atom.
Atoms (fractional coordinates):
Hf (0.1069, 0.8931, 0.2500)  6 H 2.02-2.15
Hf (0.8931, 0.1069, 0.7500)  6 H 2.02-2.15
Hf (0.6656, 0.3344, 0.2500)  6 H 2.10-2.25
Hf (0.3344, 0.6656, 0.7500)  6 H 2.10-2.25
Mo (0.8064, 0.5751, 0.8204)  4 H 1.80-1.88
Mo (0.4249, 0.1936, 0.6796)  4 H 1.80-1.88
Mo (0.1936, 0.4249, 0.1796)  4 H 1.80-1.88
Mo (0.5751, 0.8064, 0.3204)  4 H 1.80-1.88
H (0.0441, 0.8288, 0.8676)  1 H 1.85, 1 Mo 1.86, 1 Hf 2.02
H (0.1712, 0.9559, 0.6324)  1 H 1.85, 1 Mo 1.86, 1 Hf 2.02
H (0.9559, 0.1712, 0.1324)  1 H 1.85, 1 Mo 1.86, 1 Hf 2.02
H (0.8288, 0.0441, 0.3676)  1 H 1.85, 1 Mo 1.86, 1 Hf 2.02
H (0.9258, 0.3939, 0.5978)  1 Mo 1.80, 1 H 2.01
H (0.6061, 0.0742, 0.9022)  1 Mo 1.80, 1 H 2.01
H (0.0742, 0.6061, 0.4022)  1 Mo 1.80, 1 H 2.01
H (0.3939, 0.9258, 0.0978)  1 Mo 1.80, 1 H 2.01
H (0.6603, 0.7779, 0.0058)  2 Mo 1.85-1.88, 2 H 2.01-2.03
H (0.2221, 0.3397, 0.4942)  2 Mo 1.85-1.88, 2 H 2.01-2.03
H (0.3397, 0.2221, 0.9942)  2 Mo 1.85-1.88, 2 H 2.01-2.03
H (0.7779, 0.6603, 0.5058)  2 Mo 1.85-1.88, 2 H 2.01-2.03



Name the most stable of them. R.



## P
The following is a PBE calculation of a relaxed Hf3MoH crystal, from Alexandria via LeMat-Bulk.

Output
- SG: Pm-3m
- Size of the total moment: 0.00 Bohr magnetons per cell
- V: 25.7 Å³ per atom

Cell lengths 5.0494, 5.0494, 5.0494 Å; angles 90.00, 90.00, 90.00 degrees
With the nearest neighbours (Å) after each atom.
Atoms (fractional coordinates):
H (0.5000, 0.5000, 0.5000)  12 Hf 3.57
Mo (0.0000, 0.0000, 0.0000)  6 Hf 2.52
Hf (0.0000, 0.5000, 0.0000)  2 Mo 2.52
Hf (0.0000, 0.0000, 0.5000)  2 Mo 2.52
Hf (0.5000, 0.0000, 0.0000)  2 Mo 2.52



## Q
The following is a PBE calculation of a relaxed Hf3MoH crystal, from Alexandria via LeMat-Bulk.

Output
- SG: Pm-3m
- Size of the total moment: 0.00 Bohr magnetons per cell
- V: 16.7 Å³ per atom

Cell lengths 4.3680, 4.3680, 4.3680 Å; angles 90.00, 90.00, 90.00 degrees
With the nearest neighbours (Å) after each atom.
Atoms (fractional coordinates):
H (0.0000, 0.0000, 0.0000)  6 Hf 2.18
Mo (0.5000, 0.5000, 0.5000)  12 Hf 3.09
Hf (0.0000, 0.5000, 0.0000)  2 H 2.18
Hf (0.0000, 0.0000, 0.5000)  2 H 2.18
Hf (0.5000, 0.0000, 0.0000)  2 H 2.18



Name the most stable of them. Q.